# YRhBr2

YRhBr2 after structural relaxation (GGA-PBE, Alexandria via LeMat-Bulk).

Cell and atoms, written as CIF:
```
data_YRhBr2
_chemical_formula_sum 'Y3 Rh3 Br6'
_cell_length_a 4.2300
_cell_length_b 4.2300
_cell_length_c 21.7612
_cell_angle_alpha 90.00
_cell_angle_beta 90.00
_cell_angle_gamma 120.00
_symmetry_space_group_name_H-M 'R 3 m'
_symmetry_Int_Tables_number 160
_symmetry_space_group_name_Hall 'R 3 -2"'
loop_
_atom_site_label
_atom_site_fract_x
_atom_site_fract_y
_atom_site_fract_z
Y1 0.0000 0.0000 0.0000
Rh1 0.0000 0.0000 0.7326
Br1 0.0000 0.0000 0.2499
Br2 0.0000 0.0000 0.4253
```

Summary:
D(E_F) ... 1.34 states/eV per cell
ΔE_f (raw) ... -0.9241 eV/atom
Raw total energy ... -62.574 eV/cell
Energy relative to the lowest polymorph listed for this composition ... 101 meV per atom